VASP calculation (PBE-GGA) on an optimized crystal structure of Zn2CdAg5.

It has space group Immm (No. 71), with a = 2.949 Å, b = 8.689 Å, c = 11.035 Å, α = 90.00°, β = 90.00° and γ = 90.00°. Symmetry generates all atoms from Zn at (0.000, 0.000, 0.243), Cd at (0.000, 0.500, 0.000), Ag at (0.000, 0.000, 0.000) and Ag at (0.000, 0.262, 0.368).

The density is 9.19 Mg/m³. As for the volume: 17.67 A^3/atom. The calculation puts the formation enthalpy at 0 K at -17 meV per atom.